## Rb2NaTaBr6 (PBE)

Data for a geometry-optimized Rb2NaTaBr6 structure.

The structure in POSCAR format:
```
Rb2NaTaBr6
1.0
-4.872 1.423 -5.973
5.668 -1.891 -5.073
-1.272 -5.516 -5.420
Br Rb Ta Na
6 2 1 1
Direct
0.762 0.762 0.000
0.238 0.762 0.000
0.762 0.762 0.475
0.238 0.238 0.000
0.238 0.238 0.525
0.762 0.238 0.000
0.250 0.750 0.500
0.750 0.250 0.500
0.000 0.000 0.000
0.500 0.500 0.000
```

Formation energy from raw total energies in eV/f.u.: -12.47
V in Å³ per cell: 340.4
Total magnetic moment in μB per formula unit: 2.00
Mass density in g cm⁻³: 4.17